First-principles (meta-GGA SCAN) data for a crystal of Bi4O7 relaxed with PBEsol, as listed in Alexandria.

Lattice parameters (Å, degrees): 6.7071 6.8589 7.8260 73.02 89.34 78.93
Element x y z (fractional)
Bi  0.0000  0.0000  0.5000
Bi  0.0000  0.0000  0.0000
Bi  0.7366  0.5230  0.1163
Bi  0.5298  0.9978  0.7448
Bi  0.2692  0.4946  0.3835
Bi  0.4702  0.0022  0.2552
Bi  0.7308  0.5054  0.6165
Bi  0.2634  0.4770  0.8837
O  0.4631  0.3704  0.1812
O  0.1064  0.6774  0.6266
O  0.2952  0.0538  0.9458
O  0.2861  0.0882  0.5157
O  0.8936  0.3226  0.3734
O  0.9156  0.3244  0.9645
O  0.5369  0.6296  0.8188
O  0.8849  0.0904  0.7269
O  0.5317  0.6504  0.3599
O  0.7048  0.9462  0.0542
O  0.4683  0.3496  0.6401
O  0.0844  0.6756  0.0355
O  0.1151  0.9096  0.2731
O  0.7139  0.9118  0.4843

## Properties
The density is 9.33 Mg/m³. The crystal system is triclinic. The total DFT energy (no corrections) is -33.5848 eV per atom. The symmetry is P-1 (2).